Entry from the Alexandria database: Li2TmCrF8 after structural relaxation (PBE+U).

Values from the calculation:
Its space group is Cmmm. As for the total energy: -5.814 eV/atom.

```
data_Li2TmCrF8
_cell_length_a 4.7576
_cell_length_b 4.7576
_cell_length_c 6.4939
_cell_angle_alpha 90.00
_cell_angle_beta 90.00
_cell_angle_gamma 90.11
_symmetry_space_group_name_H-M 'P 1'
_symmetry_Int_Tables_number 1
loop_
_symmetry_equiv_pos_as_xyz
'x,y,z'
loop_
_atom_site_label
_atom_site_type_symbol
_atom_site_fract_x
_atom_site_fract_y
_atom_site_fract_z
Li1 Li 0.0000 0.0000 0.2374
Li2 Li 0.0000 0.0000 0.7626
Tm1 Tm 0.5000 0.5000 0.5000
Cr1 Cr 0.5000 0.5000 0.0000
F1 F 0.1886 0.1886 0.5000
F2 F 0.2134 0.2134 0.0000
F3 F 0.3067 0.6933 0.2292
F4 F 0.3067 0.6933 0.7708
F5 F 0.6933 0.3067 0.2292
F6 F 0.6933 0.3067 0.7708
F7 F 0.7866 0.7866 0.0000
F8 F 0.8114 0.8114 0.5000
```